Entry 1:
First-principles (meta-GGA SCAN) data for a PBEsol-optimized structure of Sc2BeCu, as listed in Alexandria via LeMat-Bulk.

Summary:
Density of states at the Fermi level in states/eV/atom: 0.601
DFT formation energy in kJ/mol of atoms: -18
Magnetic moment in μB per atom: 0.000
Calculated total energy in eV per atom: -12.198

Cell: 4.4960 4.4960 3.1873 Å, 90.00 90.00 90.00°
Closest atoms and distances in Å follow each position.
Space group P4/mmm (No. 123)
One atom of each set of equivalent atoms:
Sc  0.0000  0.5000  0.0000 (multiplicity 2)  4 Be 2.76, 4 Cu 2.76
Be  0.0000  0.0000  0.5000 (multiplicity 1)  8 Sc 2.76
Cu  0.5000  0.5000  0.5000 (multiplicity 1)  8 Sc 2.76

***

Entry 2:
First-principles (meta-GGA SCAN) data for a PBEsol-optimized structure of HfTaAlOs2, as listed in Alexandria via LeMat-Bulk.

Summary:
Density of states at the Fermi level in states/eV/atom: 1.059
DFT formation energy in kJ/mol of atoms: 157
Magnetic moment in μB per atom: 0.004
Calculated total energy in eV per atom: -54.521

Cell: 4.7041 4.7041 4.8801 Å, 90.00 90.00 90.00°
Closest atoms and distances in Å follow each position.
Space group P4/mmm (No. 123)
One atom of each set of equivalent atoms:
Hf  0.0000  0.0000  0.0000 (multiplicity 1)  2 Ta 2.44
Ta  0.0000  0.0000  0.5000 (multiplicity 1)  4 Os 2.35, 2 Hf 2.44
Al  0.5000  0.5000  0.0000 (multiplicity 1)  4 Hf 3.33, 8 Os 3.39
Os  0.0000  0.5000  0.5000 (multiplicity 2)  2 Ta 2.35

***

Entry 3:
First-principles (meta-GGA SCAN) data for a PBEsol-optimized structure of HfAl2Tc2, as listed in Alexandria via LeMat-Bulk.

Summary:
Density of states at the Fermi level in states/eV/atom: 0.663
DFT formation energy in kJ/mol of atoms: -46
Magnetic moment in μB per atom: 0.000
Calculated total energy in eV per atom: -30.133

Cell: 6.9960 6.9960 3.1296 Å, 90.00 90.00 90.00°
Closest atoms and distances in Å follow each position.
Space group P4/mbm (No. 127)
One atom of each set of equivalent atoms:
Hf  0.0000  0.0000  0.0000 (multiplicity 2)  4 Al 2.76, 8 Tc 3.04
Al  0.1269  0.3731  0.0000 (multiplicity 4)  1 Al 2.51, 6 Tc 2.56-2.61, 2 Hf 2.76
Tc  0.1687  0.6687  0.5000 (multiplicity 4)  6 Al 2.56-2.61